(1)
Entry from the Alexandria database: crystalline Au3IBr at its relaxed geometry (GGA-PBE).

For the formation energy without anion corrections, the calculation gives 3.31 eV per formula unit. The value obtained for the energy relative to the lowest polymorph listed for this composition is 0 meV/atom.

a b c (Å): 5.3717 5.3717 5.3717
angles (deg): 90.00 90.00 90.00
With the nearest neighbours (Å) after each atom.
Positions (direct):
Au1 0.0000 0.0000 0.5000  2 I 2.69
Au2 0.0000 0.5000 0.0000  2 I 2.69
Au3 0.5000 0.0000 0.0000  2 I 2.69
I1 0.0000 0.0000 0.0000  6 Au 2.69
Br1 0.5000 0.5000 0.5000  12 Au 3.80

***

(2)
Entry from the Alexandria database: crystalline AuI6Br2 at its relaxed geometry (GGA-PBE).

For the formation energy without anion corrections, the calculation gives 0.24 eV per formula unit.

a b c (Å): 8.8819 11.1402 12.3276
angles (deg): 90.00 132.28 90.00
With the nearest neighbours (Å) after each atom.
Positions (direct):
Au1 0.0000 0.0000 0.0000  4 I 2.67-2.68
Au2 0.0000 0.5000 0.5000  4 I 2.67-2.68
I1 0.0152 0.2404 0.0036  1 Au 2.68
I2 0.0152 0.2596 0.5036  1 Au 2.68
I3 0.2663 0.5172 0.4657  1 Au 2.67
I4 0.2663 0.9828 0.9657  1 Au 2.67
I5 0.3384 0.1915 0.4967  1 Br 2.62
I6 0.3384 0.3085 0.9967  1 Br 2.62
I7 0.6616 0.6915 0.0033  1 Br 2.62
I8 0.6616 0.8085 0.5033  1 Br 2.62
I9 0.7337 0.0172 0.0343  1 Au 2.67
I10 0.7337 0.4828 0.5343  1 Au 2.67
I11 0.9848 0.7404 0.4964  1 Au 2.68
I12 0.9848 0.7596 0.9964  1 Au 2.68
Br1 0.3765 0.6460 0.0077  1 I 2.62
Br2 0.3765 0.8540 0.5077  1 I 2.62
Br3 0.6235 0.1460 0.4923  1 I 2.62
Br4 0.6235 0.3540 0.9923  1 I 2.62

***

The calculation returns the following final energy values, one per record and in order: -1.95; -1.74 eV/atom.